# 1
Zr2TiAgH: relaxed, GGA-PBE.

## Properties
Space-group type ... P4/mmm, No. 123
Crystal system ... tetragonal
D(E_F) ... 5.219 states/eV/cell
E ... -6.272 eV/atom
Polymorph energy (0 for the lowest one) ... 0.0808 eV/atom

Geometry as CIF:
```
data_Zr2TiAgH
_space_group_name_H-M_alt 'P 1'
_space_group_IT_number 1
_cell_length_a 4.380
_cell_length_b 4.380
_cell_length_c 4.279
_cell_angle_alpha 90.00
_cell_angle_beta 90.00
_cell_angle_gamma 90.00
loop_
_space_group_symop_operation_xyz
'x,y,z'
loop_
_atom_site_label
_atom_site_type_symbol
_atom_site_fract_x
_atom_site_fract_y
_atom_site_fract_z
_atom_site_occupancy
Zr1 Zr 0.000 0.500 0.000 1
Zr2 Zr 0.500 0.000 0.000 1
Ti1 Ti 0.000 0.000 0.500 1
Ag1 Ag 0.500 0.500 0.500 1
H1 H 0.500 0.500 0.000 1
```

# 2
CePrOsCl: relaxed, GGA-PBE.

## Properties
Space-group type ... R3m, No. 160
Crystal system ... trigonal
D(E_F) ... 3.434 states/eV/cell
E ... -6.759 eV/atom

Geometry as CIF:
```
data_CePrOsCl
_space_group_name_H-M_alt 'P 1'
_space_group_IT_number 1
_cell_length_a 8.042
_cell_length_b 8.042
_cell_length_c 8.042
_cell_angle_alpha 29.03
_cell_angle_beta 29.03
_cell_angle_gamma 29.03
loop_
_space_group_symop_operation_xyz
'x,y,z'
loop_
_atom_site_label
_atom_site_type_symbol
_atom_site_fract_x
_atom_site_fract_y
_atom_site_fract_z
_atom_site_occupancy
Ce1 Ce 0.000 0.000 0.000 1
Pr1 Pr 0.802 0.802 0.802 1
Os1 Os 0.392 0.392 0.392 1
Cl1 Cl 0.569 0.569 0.569 1
```

# 3
LiZn3Hg: relaxed, GGA-PBE.

## Properties
Space-group type ... P2_1/c, No. 14
Crystal system ... monoclinic
Formation enthalpy at 0 K ... -34 kJ/mol of formula units
D(E_F) ... 5.520 states/eV/cell
E ... -1.277 eV/atom
Polymorph energy (0 for the lowest one) ... 0.0000 eV/atom

Geometry as CIF:
```
data_LiZn3Hg
_space_group_name_H-M_alt 'P 1'
_space_group_IT_number 1
_cell_length_a 7.318
_cell_length_b 7.131
_cell_length_c 7.919
_cell_angle_alpha 90.00
_cell_angle_beta 122.63
_cell_angle_gamma 90.00
loop_
_space_group_symop_operation_xyz
'x,y,z'
loop_
_atom_site_label
_atom_site_type_symbol
_atom_site_fract_x
_atom_site_fract_y
_atom_site_fract_z
_atom_site_occupancy
Li1 Li 0.225 0.036 0.204 1
Li2 Li 0.225 0.464 0.704 1
Li3 Li 0.775 0.536 0.296 1
Li4 Li 0.775 0.964 0.796 1
Zn1 Zn 0.064 0.674 0.079 1
Zn2 Zn 0.064 0.826 0.579 1
Zn3 Zn 0.162 0.116 0.829 1
Zn4 Zn 0.162 0.384 0.329 1
Zn5 Zn 0.347 0.108 0.610 1
Zn6 Zn 0.347 0.392 0.110 1
Zn7 Zn 0.653 0.608 0.890 1
Zn8 Zn 0.653 0.892 0.390 1
Zn9 Zn 0.838 0.616 0.671 1
Zn10 Zn 0.838 0.884 0.171 1
Zn11 Zn 0.936 0.174 0.421 1
Zn12 Zn 0.936 0.326 0.921 1
Hg1 Hg 0.378 0.729 0.498 1
Hg2 Hg 0.378 0.771 0.998 1
Hg3 Hg 0.622 0.229 0.002 1
Hg4 Hg 0.622 0.271 0.502 1
```

# 4
Sc2MnPI: relaxed, GGA-PBE.

## Properties
Space-group type ... P4/mmm, No. 123
Crystal system ... tetragonal
D(E_F) ... 4.546 states/eV/cell
E ... -5.422 eV/atom

Geometry as CIF:
```
data_Sc2MnPI
_space_group_name_H-M_alt 'P 1'
_space_group_IT_number 1
_cell_length_a 4.983
_cell_length_b 4.983
_cell_length_c 4.529
_cell_angle_alpha 90.00
_cell_angle_beta 90.00
_cell_angle_gamma 90.00
loop_
_space_group_symop_operation_xyz
'x,y,z'
loop_
_atom_site_label
_atom_site_type_symbol
_atom_site_fract_x
_atom_site_fract_y
_atom_site_fract_z
_atom_site_occupancy
Sc1 Sc 0.000 0.500 0.000 1
Sc2 Sc 0.500 0.000 0.000 1
Mn1 Mn 0.000 0.000 0.000 1
P1 P 0.500 0.500 0.500 1
I1 I 0.000 0.000 0.500 1
```

# 5
Ac7La2Nd: relaxed, GGA-PBE.

## Properties
Space-group type ... Cmmm, No. 65
Crystal system ... orthorhombic
Formation enthalpy at 0 K ... 564 kJ/mol of formula units
D(E_F) ... 16.199 states/eV/cell
E ... -3.754 eV/atom

Geometry as CIF:
```
data_Ac7La2Nd
_space_group_name_H-M_alt 'P 1'
_space_group_IT_number 1
_cell_length_a 9.779
_cell_length_b 9.779
_cell_length_c 6.050
_cell_angle_alpha 90.00
_cell_angle_beta 90.00
_cell_angle_gamma 118.19
loop_
_space_group_symop_operation_xyz
'x,y,z'
loop_
_atom_site_label
_atom_site_type_symbol
_atom_site_fract_x
_atom_site_fract_y
_atom_site_fract_z
_atom_site_occupancy
Ac1 Ac 0.000 0.000 0.000 1
Ac2 Ac 0.194 0.435 0.000 1
Ac3 Ac 0.261 0.739 0.500 1
Ac4 Ac 0.435 0.194 0.000 1
Ac5 Ac 0.565 0.806 0.000 1
Ac6 Ac 0.739 0.261 0.500 1
Ac7 Ac 0.806 0.565 0.000 1
La1 La 0.200 0.800 0.000 1
La2 La 0.800 0.200 0.000 1
Nd1 Nd 0.500 0.500 0.500 1
```

# 6
PrMgCuGe2: relaxed, GGA-PBE.

## Properties
Space-group type ... I-4m2, No. 119
Crystal system ... tetragonal
Formation enthalpy at 0 K ... -236 kJ/mol of formula units
D(E_F) ... 2.876 states/eV/cell
E ... -4.429 eV/atom

Geometry as CIF:
```
data_PrMgCuGe2
_space_group_name_H-M_alt 'P 1'
_space_group_IT_number 1
_cell_length_a 6.376
_cell_length_b 6.376
_cell_length_c 6.376
_cell_angle_alpha 141.39
_cell_angle_beta 141.39
_cell_angle_gamma 55.75
loop_
_space_group_symop_operation_xyz
'x,y,z'
loop_
_atom_site_label
_atom_site_type_symbol
_atom_site_fract_x
_atom_site_fract_y
_atom_site_fract_z
_atom_site_occupancy
Pr1 Pr 0.000 0.000 0.000 1
Mg1 Mg 0.750 0.250 0.500 1
Cu1 Cu 0.250 0.750 0.500 1
Ge1 Ge 0.387 0.387 0.000 1
Ge2 Ge 0.613 0.613 0.000 1
```

# 7
MnBeRh: relaxed, GGA-PBE.

## Properties
Space-group type ... P-1, No. 2
Crystal system ... triclinic
Formation enthalpy at 0 K ... -49 kJ/mol of formula units
D(E_F) ... 5.036 states/eV/cell
E ... -6.920 eV/atom
Polymorph energy (0 for the lowest one) ... 0.1717 eV/atom

Geometry as CIF:
```
data_MnBeRh
_space_group_name_H-M_alt 'P 1'
_space_group_IT_number 1
_cell_length_a 2.711
_cell_length_b 4.144
_cell_length_c 6.491
_cell_angle_alpha 79.33
_cell_angle_beta 89.95
_cell_angle_gamma 71.11
loop_
_space_group_symop_operation_xyz
'x,y,z'
loop_
_atom_site_label
_atom_site_type_symbol
_atom_site_fract_x
_atom_site_fract_y
_atom_site_fract_z
_atom_site_occupancy
Mn1 Mn 0.126 0.250 0.451 1
Mn2 Mn 0.874 0.750 0.549 1
Be1 Be 0.393 0.715 0.246 1
Be2 Be 0.607 0.285 0.754 1
Rh1 Rh 0.343 0.809 0.863 1
Rh2 Rh 0.657 0.191 0.137 1
```

# 8
BaMg9Rh2: relaxed, GGA-PBE.

## Properties
Space-group type ... I4_1/amd, No. 141
Crystal system ... tetragonal
Formation enthalpy at 0 K ... -295 kJ/mol of formula units
D(E_F) ... 12.907 states/eV/cell
E ... -2.837 eV/atom

Geometry as CIF:
```
data_BaMg9Rh2
_space_group_name_H-M_alt 'P 1'
_space_group_IT_number 1
_cell_length_a 9.179
_cell_length_b 9.179
_cell_length_c 9.179
_cell_angle_alpha 100.47
_cell_angle_beta 100.47
_cell_angle_gamma 129.53
loop_
_space_group_symop_operation_xyz
'x,y,z'
loop_
_atom_site_label
_atom_site_type_symbol
_atom_site_fract_x
_atom_site_fract_y
_atom_site_fract_z
_atom_site_occupancy
Ba1 Ba 0.375 0.625 0.750 1
Ba2 Ba 0.625 0.375 0.250 1
Mg1 Mg 0.125 0.875 0.250 1
Mg2 Mg 0.150 0.578 0.325 1
Mg3 Mg 0.150 0.825 0.572 1
Mg4 Mg 0.175 0.247 0.325 1
Mg5 Mg 0.175 0.850 0.928 1
Mg6 Mg 0.247 0.175 0.825 1
Mg7 Mg 0.247 0.422 0.072 1
Mg8 Mg 0.422 0.247 0.572 1
Mg9 Mg 0.422 0.850 0.175 1
Mg10 Mg 0.578 0.150 0.825 1
Mg11 Mg 0.578 0.753 0.428 1
Mg12 Mg 0.753 0.578 0.928 1
Mg13 Mg 0.753 0.825 0.175 1
Mg14 Mg 0.825 0.150 0.072 1
Mg15 Mg 0.825 0.753 0.675 1
Mg16 Mg 0.850 0.175 0.428 1
Mg17 Mg 0.850 0.422 0.675 1
Mg18 Mg 0.875 0.125 0.750 1
Rh1 Rh 0.000 0.000 0.000 1
Rh2 Rh 0.000 0.000 0.500 1
Rh3 Rh 0.000 0.500 0.000 1
Rh4 Rh 0.500 0.000 0.500 1
```

# 9
Ti3AgHg: relaxed, GGA-PBE.

## Properties
Space-group type ... Pm-3m, No. 221
Crystal system ... cubic
Formation enthalpy at 0 K ... 473 kJ/mol of formula units
D(E_F) ... 7.902 states/eV/cell
E ... -4.388 eV/atom
Polymorph energy (0 for the lowest one) ... 0.0000 eV/atom

Geometry as CIF:
```
data_Ti3AgHg
_space_group_name_H-M_alt 'P 1'
_space_group_IT_number 1
_cell_length_a 4.855
_cell_length_b 4.855
_cell_length_c 4.855
_cell_angle_alpha 90.00
_cell_angle_beta 90.00
_cell_angle_gamma 90.00
loop_
_space_group_symop_operation_xyz
'x,y,z'
loop_
_atom_site_label
_atom_site_type_symbol
_atom_site_fract_x
_atom_site_fract_y
_atom_site_fract_z
_atom_site_occupancy
Ti1 Ti 0.000 0.000 0.500 1
Ti2 Ti 0.000 0.500 0.000 1
Ti3 Ti 0.500 0.000 0.000 1
Ag1 Ag 0.000 0.000 0.000 1
Hg1 Hg 0.500 0.500 0.500 1
```

# 10
Pb8Au: relaxed, GGA-PBE.

## Properties
Space-group type ... I4/mmm, No. 139
Crystal system ... tetragonal
Formation enthalpy at 0 K ... 12 kJ/mol of formula units
D(E_F) ... 4.106 states/eV/cell
E ... -3.647 eV/atom

Geometry as CIF:
```
data_Pb8Au
_space_group_name_H-M_alt 'P 1'
_space_group_IT_number 1
_cell_length_a 7.815
_cell_length_b 7.815
_cell_length_c 7.815
_cell_angle_alpha 95.55
_cell_angle_beta 95.55
_cell_angle_gamma 143.78
loop_
_space_group_symop_operation_xyz
'x,y,z'
loop_
_atom_site_label
_atom_site_type_symbol
_atom_site_fract_x
_atom_site_fract_y
_atom_site_fract_z
_atom_site_occupancy
Pb1 Pb 0.000 0.326 0.326 1
Pb2 Pb 0.000 0.674 0.674 1
Pb3 Pb 0.326 0.000 0.326 1
Pb4 Pb 0.340 0.340 0.679 1
Pb5 Pb 0.340 0.660 0.000 1
Pb6 Pb 0.660 0.340 0.000 1
Pb7 Pb 0.660 0.660 0.321 1
Pb8 Pb 0.674 0.000 0.674 1
Au1 Au 0.000 0.000 0.000 1
```

# 11
LiAlSeN2: relaxed, GGA-PBE.

## Properties
Space-group type ... P4/mmm, No. 123
Crystal system ... tetragonal
D(E_F) ... 2.838 states/eV/cell
E ... -3.782 eV/atom
Polymorph energy (0 for the lowest one) ... 0.9639 eV/atom

Geometry as CIF:
```
data_LiAlSeN2
_space_group_name_H-M_alt 'P 1'
_space_group_IT_number 1
_cell_length_a 3.677
_cell_length_b 3.677
_cell_length_c 5.067
_cell_angle_alpha 90.00
_cell_angle_beta 90.00
_cell_angle_gamma 90.00
loop_
_space_group_symop_operation_xyz
'x,y,z'
loop_
_atom_site_label
_atom_site_type_symbol
_atom_site_fract_x
_atom_site_fract_y
_atom_site_fract_z
_atom_site_occupancy
Li1 Li 0.000 0.000 0.000 1
Al1 Al 0.500 0.500 0.500 1
Se1 Se 0.000 0.000 0.500 1
N1 N 0.000 0.500 0.000 1
N2 N 0.500 0.000 0.000 1
```

# 12
Sm9TmSc2: relaxed, GGA-PBE.

## Properties
Space-group type ... P4/mmm, No. 123
Crystal system ... tetragonal
Formation enthalpy at 0 K ... 37 kJ/mol of formula units
D(E_F) ... 17.762 states/eV/cell
E ... -4.935 eV/atom

Geometry as CIF:
```
data_Sm9TmSc2
_space_group_name_H-M_alt 'P 1'
_space_group_IT_number 1
_cell_length_a 5.024
_cell_length_b 5.024
_cell_length_c 15.078
_cell_angle_alpha 90.00
_cell_angle_beta 90.00
_cell_angle_gamma 90.00
loop_
_space_group_symop_operation_xyz
'x,y,z'
loop_
_atom_site_label
_atom_site_type_symbol
_atom_site_fract_x
_atom_site_fract_y
_atom_site_fract_z
_atom_site_occupancy
Sm1 Sm 0.000 0.000 0.000 1
Sm2 Sm 0.000 0.000 0.335 1
Sm3 Sm 0.000 0.000 0.665 1
Sm4 Sm 0.000 0.500 0.170 1
Sm5 Sm 0.000 0.500 0.500 1
Sm6 Sm 0.000 0.500 0.830 1
Sm7 Sm 0.500 0.000 0.170 1
Sm8 Sm 0.500 0.000 0.500 1
Sm9 Sm 0.500 0.000 0.830 1
Tm1 Tm 0.500 0.500 0.000 1
Sc1 Sc 0.500 0.500 0.335 1
Sc2 Sc 0.500 0.500 0.665 1
```